# 1
# Ho7Mg2Rh2 PBE-GGA optimized geometry
data_Ho7Mg2Rh2
_chemical_formula_sum 'Ho7 Mg2 Rh2'
_cell_length_a 6.7871
_cell_length_b 6.7871
_cell_length_c 7.1719
_cell_angle_alpha 90.00
_cell_angle_beta 90.00
_cell_angle_gamma 107.16
_symmetry_space_group_name_H-M 'P 1'
_symmetry_Int_Tables_number 1
loop_
_symmetry_equiv_pos_as_xyz
'x,y,z'
loop_
_atom_site_label
_atom_site_fract_x
_atom_site_fract_y
_atom_site_fract_z
_atom_site_occupancy
Ho1 0.0000 0.0000 0.0000 1
Ho2 0.0000 0.5000 0.2479 1
Ho3 0.0000 0.5000 0.7521 1
Ho4 0.5000 0.0000 0.2479 1
Ho5 0.5000 0.0000 0.7521 1
Ho6 0.5000 0.5000 0.2408 1
Ho7 0.5000 0.5000 0.7592 1
Mg1 0.1734 0.1734 0.5000 1
Mg2 0.8266 0.8266 0.5000 1
Rh1 0.2860 0.7140 0.0000 1
Rh2 0.7140 0.2860 0.0000 1
# **N(E_F)**: 1.037 states/eV/atom
# **Total magnetic moment**: 0.000 μB/f.u.
# **Energy of formation from the pure elements**: -23.3 kJ/mol of atoms
# **Space group**: Cmmm, No. 65

***

# 2
# HoMgRh PBE-GGA optimized geometry
data_HoMgRh
_chemical_formula_sum 'Ho1 Mg1 Rh1'
_cell_length_a 6.1620
_cell_length_b 6.1620
_cell_length_c 6.1620
_cell_angle_alpha 148.74
_cell_angle_beta 148.74
_cell_angle_gamma 44.80
_symmetry_space_group_name_H-M 'P 1'
_symmetry_Int_Tables_number 1
loop_
_symmetry_equiv_pos_as_xyz
'x,y,z'
loop_
_atom_site_label
_atom_site_fract_x
_atom_site_fract_y
_atom_site_fract_z
_atom_site_occupancy
Ho1 0.0000 0.0000 0.0000 1
Mg1 0.7246 0.7246 0.0000 1
Rh1 0.3570 0.3570 0.0000 1
# **N(E_F)**: 0.461 states/eV/atom
# **Total magnetic moment**: 0.000 μB/f.u.
# **Energy of formation from the pure elements**: -51.6 kJ/mol of atoms
# **Space group**: I4mm, No. 107

***

# 3
# HoMg2Rh2 PBE-GGA optimized geometry
data_HoMg2Rh2
_chemical_formula_sum 'Ho1 Mg2 Rh2'
_cell_length_a 9.3080
_cell_length_b 9.3080
_cell_length_c 3.2480
_cell_angle_alpha 90.00
_cell_angle_beta 90.00
_cell_angle_gamma 159.67
_symmetry_space_group_name_H-M 'P 1'
_symmetry_Int_Tables_number 1
loop_
_symmetry_equiv_pos_as_xyz
'x,y,z'
loop_
_atom_site_label
_atom_site_fract_x
_atom_site_fract_y
_atom_site_fract_z
_atom_site_occupancy
Ho1 0.0000 0.0000 0.0000 1
Mg1 0.1751 0.8249 0.0000 1
Mg2 0.8249 0.1751 0.0000 1
Rh1 0.4038 0.5962 0.5000 1
Rh2 0.5962 0.4038 0.5000 1
# **N(E_F)**: 0.338 states/eV/atom
# **Total magnetic moment**: 0.000 μB/f.u.
# **Energy of formation from the pure elements**: -52.1 kJ/mol of atoms
# **Space group**: Cmmm, No. 65

***

# 4
# Ho4MgRh PBE-GGA optimized geometry
data_Ho4MgRh
_chemical_formula_sum 'Ho4 Mg1 Rh1'
_cell_length_a 4.7837
_cell_length_b 4.7837
_cell_length_c 7.9495
_cell_angle_alpha 90.00
_cell_angle_beta 90.00
_cell_angle_gamma 90.00
_symmetry_space_group_name_H-M 'P 1'
_symmetry_Int_Tables_number 1
loop_
_symmetry_equiv_pos_as_xyz
'x,y,z'
loop_
_atom_site_label
_atom_site_fract_x
_atom_site_fract_y
_atom_site_fract_z
_atom_site_occupancy
Ho1 0.0000 0.5000 0.2062 1
Ho2 0.0000 0.5000 0.7938 1
Ho3 0.5000 0.0000 0.2062 1
Ho4 0.5000 0.0000 0.7938 1
Mg1 0.0000 0.0000 0.5000 1
Rh1 0.5000 0.5000 0.0000 1
# **N(E_F)**: 0.831 states/eV/atom
# **Total magnetic moment**: 0.000 μB/f.u.
# **Offset from the most stable computed form**: 29.3 kJ per mole of atoms
# **Energy of formation from the pure elements**: -10.1 kJ/mol of atoms
# **Space group**: P4/mmm, No. 123

***

# 5
# Ho6MgRh PBE-GGA optimized geometry
data_Ho6MgRh
_chemical_formula_sum 'Ho6 Mg1 Rh1'
_cell_length_a 6.8870
_cell_length_b 6.8985
_cell_length_c 7.3206
_cell_angle_alpha 90.15
_cell_angle_beta 117.91
_cell_angle_gamma 119.89
_symmetry_space_group_name_H-M 'P 1'
_symmetry_Int_Tables_number 1
loop_
_symmetry_equiv_pos_as_xyz
'x,y,z'
loop_
_atom_site_label
_atom_site_fract_x
_atom_site_fract_y
_atom_site_fract_z
_atom_site_occupancy
Ho1 0.0471 0.0768 0.2526 1
Ho2 0.2819 0.7051 0.2520 1
Ho3 0.3226 0.5288 0.7478 1
Ho4 0.6774 0.4712 0.2522 1
Ho5 0.7181 0.2949 0.7480 1
Ho6 0.9529 0.9232 0.7474 1
Mg1 0.5000 0.0000 0.0000 1
Rh1 0.5000 0.5000 0.5000 1
# **N(E_F)**: 1.390 states/eV/atom
# **Total magnetic moment**: 0.000 μB/f.u.
# **Energy of formation from the pure elements**: 2.6 kJ/mol of atoms
# **Space group**: P-1, No. 2

***

# 6
# Ho4Mg3Rh PBE-GGA optimized geometry
data_Ho4Mg3Rh
_chemical_formula_sum 'Ho4 Mg3 Rh1'
_cell_length_a 3.5656
_cell_length_b 3.5656
_cell_length_c 15.8273
_cell_angle_alpha 90.00
_cell_angle_beta 90.00
_cell_angle_gamma 90.00
_symmetry_space_group_name_H-M 'P 1'
_symmetry_Int_Tables_number 1
loop_
_symmetry_equiv_pos_as_xyz
'x,y,z'
loop_
_atom_site_label
_atom_site_fract_x
_atom_site_fract_y
_atom_site_fract_z
_atom_site_occupancy
Ho1 0.0000 0.0000 0.1006 1
Ho2 0.0000 0.0000 0.3717 1
Ho3 0.0000 0.0000 0.6283 1
Ho4 0.0000 0.0000 0.8994 1
Mg1 0.5000 0.5000 0.2400 1
Mg2 0.5000 0.5000 0.5000 1
Mg3 0.5000 0.5000 0.7600 1
Rh1 0.5000 0.5000 0.0000 1
# **N(E_F)**: 0.816 states/eV/atom
# **Total magnetic moment**: 0.001 μB/f.u.
# **Energy of formation from the pure elements**: -27.2 kJ/mol of atoms
# **Space group**: P4/mmm, No. 123

***

# 7
# Ho5Mg2Ru2Rh PBE-GGA optimized geometry
data_Ho5Mg2Ru2Rh
_chemical_formula_sum 'Ho10 Mg4 Ru4 Rh2'
_cell_length_a 11.5730
_cell_length_b 11.5730
_cell_length_c 3.5313
_cell_angle_alpha 90.00
_cell_angle_beta 90.00
_cell_angle_gamma 90.00
_symmetry_space_group_name_H-M 'P 1'
_symmetry_Int_Tables_number 1
loop_
_symmetry_equiv_pos_as_xyz
'x,y,z'
loop_
_atom_site_label
_atom_site_fract_x
_atom_site_fract_y
_atom_site_fract_z
_atom_site_occupancy
Ho1 0.0000 0.5000 0.0000 1
Ho2 0.0605 0.1976 0.0000 1
Ho3 0.1976 0.9395 0.0000 1
Ho4 0.3024 0.4395 0.0000 1
Ho5 0.4395 0.6976 0.0000 1
Ho6 0.5000 0.0000 0.0000 1
Ho7 0.5605 0.3024 0.0000 1
Ho8 0.6976 0.5605 0.0000 1
Ho9 0.8024 0.0605 0.0000 1
Ho10 0.9395 0.8024 0.0000 1
Mg1 0.1857 0.6857 0.5000 1
Mg2 0.3143 0.1857 0.5000 1
Mg3 0.6857 0.8143 0.5000 1
Mg4 0.8143 0.3143 0.5000 1
Ru1 0.1346 0.3654 0.5000 1
Ru2 0.3654 0.8654 0.5000 1
Ru3 0.6346 0.1346 0.5000 1
Ru4 0.8654 0.6346 0.5000 1
Rh1 0.0000 0.0000 0.5000 1
Rh2 0.5000 0.5000 0.5000 1
# **N(E_F)**: 0.620 states/eV/atom
# **Total magnetic moment**: 0.000 μB/f.u.
# **Energy of formation from the pure elements**: -33.0 kJ/mol of atoms
# **Space group**: P4/mbm, No. 127

***

# 8
# HoMgRuRh PBE-GGA optimized geometry
data_HoMgRuRh
_chemical_formula_sum 'Ho1 Mg1 Ru1 Rh1'
_cell_length_a 4.6152
_cell_length_b 4.6152
_cell_length_c 4.6152
_cell_angle_alpha 60.00
_cell_angle_beta 60.00
_cell_angle_gamma 60.00
_symmetry_space_group_name_H-M 'P 1'
_symmetry_Int_Tables_number 1
loop_
_symmetry_equiv_pos_as_xyz
'x,y,z'
loop_
_atom_site_label
_atom_site_fract_x
_atom_site_fract_y
_atom_site_fract_z
_atom_site_occupancy
Ho1 0.0000 0.0000 0.0000 1
Mg1 0.5000 0.5000 0.5000 1
Ru1 0.2500 0.2500 0.2500 1
Rh1 0.7500 0.7500 0.7500 1
# **N(E_F)**: 0.652 states/eV/atom
# **Total magnetic moment**: 0.000 μB/f.u.
# **Energy of formation from the pure elements**: -38.5 kJ/mol of atoms
# **Space group**: F-43m, No. 216